Density functional theory data (PBE with a Hubbard U) for an optimized crystal structure of BaCrSeF2.

Unit cell a=4.5157 b=4.5157 c=5.2895 alpha=90.00 beta=90.00 gamma=90.00
Last column: nearest neighbours and their distance in Å.
Positions (direct):
Ba: 0.0000 0.0000 0.0000  4 F 2.80
Cr: 0.5000 0.5000 0.3521  4 F 2.27
Se: 0.5000 0.5000 0.8398  2 Cr 2.58-2.71
F: 0.0000 0.5000 0.3145  2 Cr 2.27
F: 0.5000 0.0000 0.3145  2 Cr 2.27

Summary:
Uncorrected energy ... -5.64 eV per atom
Space group ... P4mm